Material: Tl2CrSe
Method: DFT, PBE-GGA
State: optimized geometry

The structure in POSCAR format:
```
Tl2CrSe
1.0
4.376 0.000 0.000
0.000 4.376 0.000
0.000 0.000 5.268
Tl Cr Se
2 1 1
Cartesian
0.000 2.188 0.000 Tl
2.188 0.000 0.000 Tl
0.000 0.000 2.634 Cr
2.188 2.188 2.634 Se
```

energy relative to the elements, uncorrected = 0.239 eV per atom
calculated volume = 100.9 Å³ per cell
N(E_F) = 0.420 states/eV/atom
total energy = -4.22 eV per atom

Material: LiTiCu4
Method: DFT, PBE-GGA
State: optimized geometry

The structure in POSCAR format:
```
LiTiCu4
1.0
0.000 3.433 3.433
3.433 0.000 3.433
3.433 3.433 0.000
Li Ti Cu
1 1 4
Cartesian
0.000 0.000 0.000 Li
5.150 5.150 5.150 Ti
2.572 2.572 2.572 Cu
4.294 4.294 2.572 Cu
4.294 2.572 4.294 Cu
2.572 4.294 4.294 Cu
```

calculated volume = 80.9 Å³ per cell
N(E_F) = 0.915 states/eV/atom
total energy = -4.36 eV per atom
energy relative to the elements = 0.0043 eV/atom